DFT (PBE with a Hubbard U) results for a geometry-optimized Rb2CaNi3F12 structure.

The space group is R-3m (No. 166, hexagonal axes) and the conventional cell measures 7.4169, 7.4169 and 17.7680 Å, with angles of 90.00, 90.00 and 120.00 degrees. The inequivalent atoms are Rb at (0.0000, 0.0000, 0.1175), Ca at (0.0000, 0.0000, 0.5000), Ni at (0.0000, 0.5000, 0.0000), F at (0.0166, 0.5083, 0.1077) and F at (0.0735, 0.5368, 0.3366).

Its calculated density is 3.62 g/cm³. For the total energy, the calculation gives -4.300 eV per atom.